AcSm3O | PBE | optimized geometry

Lattice parameters (Å, degrees): 5.1393 5.1393 5.1393 90.00 90.00 90.00
With the nearest neighbours (Å) after each atom.
Space group Pm-3m (No. 221)
Unique sites:
Ac (0.0000, 0.0000, 0.0000)  12 Sm 3.63
Sm (0.0000, 0.5000, 0.5000)  2 O 2.57
O (0.5000, 0.5000, 0.5000)  6 Sm 2.57

DFT total energy: -5.642 eV per atom
uncorrected formation energy: -23.00 kcal/mol of atoms